# NbSe2Br2 (PBE-GGA, relaxed)
# - ΔE_f (raw): 0.0339 eV per atom
# - Energy above the most stable polymorph in this dataset: 789 meV/atom
# - Final energy: -4.043 eV/atom
# - Total moment: 0.01 μB per atom
# - Density of states at the Fermi level: 0.598 states/eV per atom
# - Space-group type: I4/mmm (139)
data_NbSe2Br2
_cell_length_a 3.516
_cell_length_b 3.516
_cell_length_c 21.863
_cell_angle_alpha 90.00
_cell_angle_beta 90.00
_cell_angle_gamma 90.00
_symmetry_space_group_name_H-M 'P 1'
_symmetry_Int_Tables_number 1
loop_
_symmetry_equiv_pos_as_xyz
'x,y,z'
loop_
_atom_site_label
_atom_site_type_symbol
_atom_site_fract_x
_atom_site_fract_y
_atom_site_fract_z
Nb1 Nb 0.000 0.000 0.000
Nb2 Nb 0.500 0.500 0.500
Se1 Se 0.000 0.500 0.250
Se2 Se 0.000 0.500 0.750
Se3 Se 0.500 0.000 0.250
Se4 Se 0.500 0.000 0.750
Br1 Br 0.000 0.000 0.427
Br2 Br 0.000 0.000 0.573
Br3 Br 0.500 0.500 0.073
Br4 Br 0.500 0.500 0.927

---

# NbSeBr2 (PBE-GGA, relaxed)
# - ΔE_f (raw): -0.1815 eV per atom
# - Energy above the most stable polymorph in this dataset: 506 meV/atom
# - Final energy: -4.407 eV/atom
# - Total moment: 0.00 μB per atom
# - Density of states at the Fermi level: 0.805 states/eV per atom
# - Space-group type: R-3m (166)
data_NbSeBr2
_cell_length_a 3.253
_cell_length_b 3.253
_cell_length_c 33.557
_cell_angle_alpha 90.00
_cell_angle_beta 90.00
_cell_angle_gamma 120.00
_symmetry_space_group_name_H-M 'P 1'
_symmetry_Int_Tables_number 1
loop_
_symmetry_equiv_pos_as_xyz
'x,y,z'
loop_
_atom_site_label
_atom_site_type_symbol
_atom_site_fract_x
_atom_site_fract_y
_atom_site_fract_z
Nb1 Nb 0.000 0.000 0.000
Nb2 Nb 0.333 0.667 0.667
Nb3 Nb 0.667 0.333 0.333
Se1 Se 0.000 0.000 0.500
Se2 Se 0.333 0.667 0.167
Se3 Se 0.667 0.333 0.833
Br1 Br 0.000 0.000 0.390
Br2 Br 0.000 0.000 0.610
Br3 Br 0.333 0.667 0.057
Br4 Br 0.333 0.667 0.277
Br5 Br 0.667 0.333 0.723
Br6 Br 0.667 0.333 0.943

---

# NbSeBr2 (PBE-GGA, relaxed)
# - ΔE_f (raw): 0.3348 eV per atom
# - Energy above the most stable polymorph in this dataset: 1022 meV/atom
# - Final energy: -3.890 eV/atom
# - Total moment: 0.10 μB per atom
# - Density of states at the Fermi level: 0.838 states/eV per atom
# - Space-group type: R-3m (166)
data_NbSeBr2
_cell_length_a 3.298
_cell_length_b 3.298
_cell_length_c 35.647
_cell_angle_alpha 90.00
_cell_angle_beta 90.00
_cell_angle_gamma 120.00
_symmetry_space_group_name_H-M 'P 1'
_symmetry_Int_Tables_number 1
loop_
_symmetry_equiv_pos_as_xyz
'x,y,z'
loop_
_atom_site_label
_atom_site_type_symbol
_atom_site_fract_x
_atom_site_fract_y
_atom_site_fract_z
Nb1 Nb 0.000 0.000 0.000
Nb2 Nb 0.333 0.667 0.667
Nb3 Nb 0.667 0.333 0.333
Se1 Se 0.000 0.000 0.500
Se2 Se 0.333 0.667 0.167
Se3 Se 0.667 0.333 0.833
Br1 Br 0.000 0.000 0.068
Br2 Br 0.000 0.000 0.932
Br3 Br 0.333 0.667 0.599
Br4 Br 0.333 0.667 0.734
Br5 Br 0.667 0.333 0.266
Br6 Br 0.667 0.333 0.401

---

Question: Which of these has the highest energy above the most stable polymorph in this dataset?
Answer: number 3